1.
Here is a relaxed structure of KBaI2N from Alexandria. Energies are from GGA-PBE.

Values from the calculation:
Distance to the lowest polymorph of the same formula = 0.355 eV per atom
Raw formation energy = -0.14 eV/atom
Total moment = 0.405 μB/atom
E = -3.0340 eV per atom
Volume = 40.02 A^3/atom

Geometry as POSCAR:
```
KBaI2N
1.0
-5.4552 2.9758 -1.0109
-1.2035 -0.1073 6.1787
2.3278 4.4475 0.5307
I K Ba N
2 1 1 1
Direct
0.0000 0.5000 0.0000
0.5000 0.0000 0.0000
0.0000 0.0000 0.0000
0.5000 0.5000 0.5000
0.0000 0.0000 0.5000
```

***

2.
Here is a relaxed structure of K3BaNa2I6 from Alexandria. Energies are from GGA-PBE.

Values from the calculation:
Raw formation energy = -1.33 eV/atom
Total moment = 0.030 μB/atom
E = -2.7612 eV per atom
Volume = 43.31 A^3/atom

Geometry as POSCAR:
```
K3BaNa2I6
1.0
-2.9655 -3.7508 0.4324
5.7965 -5.3358 -6.5305
5.7803 -0.3986 9.5308
K Ba Na I
3 1 2 6
Direct
0.5000 0.5000 0.0000
0.8337 0.1731 0.6674
0.1663 0.8269 0.3326
0.5000 0.0000 0.0000
0.8274 0.6554 0.6549
0.1726 0.3446 0.3451
0.3341 0.9012 0.6681
0.6711 0.5681 0.3423
0.6659 0.0988 0.3319
0.0069 0.2576 0.0138
0.9931 0.7424 0.9862
0.3289 0.4319 0.6577
```

***

3.
Here is a relaxed structure of K2BaNaI5 from Alexandria. Energies are from GGA-PBE.

Values from the calculation:
Raw formation energy = -1.50 eV/atom
Total moment = 0.000 μB/atom
E = -2.9650 eV per atom
Volume = 47.35 A^3/atom

Geometry as POSCAR:
```
K2BaNaI5
1.0
-1.5698 2.1235 -4.3131
-2.7705 -10.3340 -1.1144
-14.3084 3.1094 6.7386
K Ba Na I
4 2 2 10
Direct
0.8753 0.7506 0.8061
0.0875 0.1751 0.6626
0.1247 0.2494 0.3061
0.9125 0.8249 0.1626
0.7760 0.5521 0.5278
0.2240 0.4479 0.0278
0.5428 0.0855 0.9470
0.4572 0.9145 0.4470
0.3853 0.7706 0.9953
0.6995 0.3990 0.8860
0.4969 0.9939 0.7674
0.2655 0.5309 0.6770
0.9380 0.8760 0.5547
0.6147 0.2294 0.4953
0.3005 0.6010 0.3860
0.5031 0.0061 0.2674
0.7345 0.4691 0.1770
0.0620 0.1240 0.0547
```

***

4.
Here is a relaxed structure of KBaNaI4 from Alexandria. Energies are from GGA-PBE.

Values from the calculation:
Raw formation energy = -1.49 eV/atom
Total moment = 0.000 μB/atom
E = -2.9921 eV per atom
Volume = 48.77 A^3/atom

Geometry as POSCAR:
```
KBaNaI4
1.0
8.5529 0.0000 0.2181
0.0000 8.5563 0.0000
-3.0962 0.0000 9.2510
K Ba Na I
2 2 2 8
Direct
0.7769 0.7500 0.9472
0.2231 0.2500 0.0528
0.7905 0.7500 0.4447
0.2095 0.2500 0.5553
0.2628 0.7500 0.3116
0.7372 0.2500 0.6884
0.0027 0.5035 0.7347
0.9973 0.0035 0.2653
0.9973 0.4965 0.2653
0.0027 0.9965 0.7347
0.4849 0.7500 0.1271
0.5151 0.2500 0.8729
0.4881 0.7500 0.6131
0.5119 0.2500 0.3869
```

***

5.
Here is a relaxed structure of KBaNb2I from Alexandria. Energies are from GGA-PBE.

Values from the calculation:
Raw formation energy = 1.10 eV/atom
Total moment = 0.000 μB/atom
E = -3.8438 eV per atom
Volume = 34.16 A^3/atom

Geometry as POSCAR:
```
KBaNb2I
1.0
-3.9358 1.3420 3.1857
-3.9880 -0.3859 -4.7645
-0.8296 -5.0531 1.1036
I Nb K Ba
1 2 1 1
Direct
0.0000 0.0000 0.0000
0.0000 0.0000 0.5000
0.5000 0.0000 0.0000
0.0000 0.5000 0.0000
0.5000 0.5000 0.5000
```

***

6.
Here is a relaxed structure of K2BaNpI8 from Alexandria. Energies are from GGA-PBE.

Values from the calculation:
Raw formation energy = -1.23 eV/atom
Total moment = 0.244 μB/atom
E = -3.6824 eV per atom
Volume = 53.60 A^3/atom

Geometry as POSCAR:
```
K2BaNpI8
1.0
-2.5612 -1.1525 7.6759
-6.1170 -3.8125 -2.9029
5.2043 -8.6840 0.4335
K Ba Np I
2 1 1 8
Direct
0.4998 0.4995 0.7502
0.5002 0.5005 0.2498
0.0000 0.0000 0.5000
0.0000 0.0000 0.0000
0.1354 0.7727 0.2131
0.6881 0.7871 0.9996
0.8640 0.2269 0.2131
0.8646 0.2273 0.7869
0.3119 0.2129 0.0004
0.1360 0.7731 0.7869
0.6692 0.7368 0.5003
0.3308 0.2632 0.4997
```

***

7.
Here is a relaxed structure of KBaI2O from Alexandria. Energies are from GGA-PBE.

Values from the calculation:
Distance to the lowest polymorph of the same formula = 0.388 eV per atom
Raw formation energy = -0.94 eV/atom
Total moment = 0.200 μB/atom
E = -3.1568 eV per atom
Volume = 38.34 A^3/atom

Geometry as POSCAR:
```
KBaI2O
1.0
-2.3913 -3.5626 4.6159
-0.6627 -4.7906 -4.0407
4.4372 -1.5461 1.1054
I K Ba O
2 1 1 1
Direct
0.0000 0.5000 0.0000
0.5000 0.0000 0.0000
0.0000 0.0000 0.0000
0.5000 0.5000 0.5000
0.0000 0.0000 0.5000
```

***

8.
Here is a relaxed structure of K3Ba2IO6 from Alexandria. Energies are from GGA-PBE.

Values from the calculation:
Raw formation energy = -1.54 eV/atom
Total moment = 0.000 μB/atom
E = -4.7428 eV per atom
Volume = 19.66 A^3/atom

Geometry as POSCAR:
```
K3Ba2IO6
1.0
-3.1646 1.5068 5.5801
6.0401 -2.6267 0.2001
1.5613 6.1439 -2.0491
K Ba I O
3 2 1 6
Direct
0.1521 0.8479 0.5000
0.8479 0.1521 0.5000
0.5000 0.5000 0.5000
0.3322 0.6678 0.0000
0.6678 0.3322 0.0000
0.0000 0.0000 0.0000
0.9342 0.6630 0.8012
0.7887 0.7887 0.1930
0.0658 0.3370 0.1988
0.6630 0.9342 0.8012
0.2113 0.2113 0.8070
0.3370 0.0658 0.1988
```

***

9.
Here is a relaxed structure of KBaI2O from Alexandria. Energies are from GGA-PBE.

Values from the calculation:
Distance to the lowest polymorph of the same formula = 0.000 eV per atom
Raw formation energy = -1.33 eV/atom
Total moment = 0.047 μB/atom
E = -3.5445 eV per atom
Volume = 44.40 A^3/atom

Geometry as POSCAR:
```
KBaI2O
1.0
-5.0820 1.8525 4.3724
-4.5729 -0.1827 -5.2375
-0.8446 -4.4218 0.8917
I K Ba O
2 1 1 1
Direct
0.0000 0.5000 0.0000
0.5000 0.0000 0.0000
0.5000 0.5000 0.5000
0.0000 0.0000 0.0000
0.0000 0.0000 0.5000
```

***

10.
Here is a relaxed structure of KBaIO2 from Alexandria. Energies are from GGA-PBE.

Values from the calculation:
Distance to the lowest polymorph of the same formula = 0.584 eV per atom
Raw formation energy = -0.51 eV/atom
Total moment = 0.030 μB/atom
E = -3.4124 eV per atom
Volume = 30.35 A^3/atom

Geometry as POSCAR:
```
KBaIO2
1.0
-1.3274 -0.2368 -4.7964
-4.1876 -2.3788 1.2764
-2.8846 5.3642 0.5336
I K Ba O
1 1 1 2
Direct
0.0000 0.0000 0.5000
0.0000 0.0000 0.0000
0.5000 0.5000 0.5000
0.0000 0.5000 0.0000
0.5000 0.0000 0.0000
```

***

11.
Here is a relaxed structure of KBaIO2 from Alexandria. Energies are from GGA-PBE.

Values from the calculation:
Distance to the lowest polymorph of the same formula = 0.000 eV per atom
Raw formation energy = -1.10 eV/atom
Total moment = 0.400 μB/atom
E = -3.9968 eV per atom
Volume = 36.47 A^3/atom

Geometry as POSCAR:
```
KBaIO2
1.0
-3.0002 -3.1601 2.4933
3.6413 -0.8051 3.3611
-2.4728 5.5010 3.9966
I K Ba O
1 1 1 2
Direct
0.0000 0.0000 0.5000
0.5000 0.5000 0.5000
0.0000 0.0000 0.0000
0.0000 0.5000 0.0000
0.5000 0.0000 0.0000
```

***

12.
Here is a relaxed structure of K3Ba2I3O2 from Alexandria. Energies are from GGA-PBE.

Values from the calculation:
Raw formation energy = -1.82 eV/atom
Total moment = 0.000 μB/atom
E = -3.9892 eV per atom
Volume = 36.66 A^3/atom

Geometry as POSCAR:
```
K3Ba2I3O2
1.0
5.1436 0.0000 0.0000
0.0000 5.1436 0.0000
-2.5718 -2.5718 13.8558
K Ba I O
3 2 3 2
Direct
0.8716 0.8716 0.7431
0.5000 0.5000 0.0000
0.1284 0.1284 0.2569
0.7500 0.2500 0.5000
0.2500 0.7500 0.5000
0.6328 0.6328 0.2656
0.3672 0.3672 0.7344
0.0000 0.0000 0.0000
0.7772 0.7772 0.5543
0.2228 0.2228 0.4457
```

***

13.
Here is a relaxed structure of K2BaIO4 from Alexandria. Energies are from GGA-PBE.

Values from the calculation:
Raw formation energy = -1.33 eV/atom
Total moment = 0.130 μB/atom
E = -4.5202 eV per atom
Volume = 19.62 A^3/atom

Geometry as POSCAR:
```
K2BaIO4
1.0
5.8927 0.1552 0.2377
-2.3704 5.3971 -0.2377
-2.3704 -2.3896 4.8451
K Ba I O
2 1 1 4
Direct
0.5000 0.7500 0.2500
0.0000 0.0000 0.0000
0.5000 0.2500 0.7500
0.0000 0.5000 0.5000
0.5550 0.2774 0.2792
0.0018 0.2775 0.7226
0.9982 0.7208 0.2757
0.4450 0.7243 0.7225
```

***

14.
Here is a relaxed structure of K2BaPbI6 from Alexandria. Energies are from GGA-PBE.

Values from the calculation:
Raw formation energy = -1.30 eV/atom
Total moment = 0.000 μB/atom
E = -3.0170 eV per atom
Volume = 48.40 A^3/atom

Geometry as POSCAR:
```
K2BaPbI6
1.0
8.4983 0.0000 -0.0782
0.0000 9.1447 0.0000
-0.0381 0.0000 12.4559
K Ba Pb I
4 2 2 12
Direct
0.0370 0.9080 0.2472
0.5370 0.5920 0.7472
0.9630 0.0920 0.7528
0.4630 0.4080 0.2528
0.5000 0.0000 0.0000
0.0000 0.5000 0.5000
0.5000 0.0000 0.5000
0.0000 0.5000 0.0000
0.3099 0.6827 0.0715
0.8099 0.8173 0.5715
0.6901 0.3173 0.9285
0.1901 0.1827 0.4285
0.3267 0.6977 0.4267
0.8267 0.8023 0.9267
0.6733 0.3023 0.5733
0.1733 0.1977 0.0733
0.8578 0.5534 0.2402
0.3578 0.9466 0.7402
0.1422 0.4466 0.7598
0.6422 0.0534 0.2598
```

***

15.
Here is a relaxed structure of KBaPmI6 from Alexandria. Energies are from GGA-PBE.

Values from the calculation:
Raw formation energy = -1.55 eV/atom
Total moment = 0.000 μB/atom
E = -3.4440 eV per atom
Volume = 52.98 A^3/atom

Geometry as POSCAR:
```
KBaPmI6
1.0
-7.5845 -2.7509 2.8272
6.4639 -5.5137 -0.9496
4.3330 2.6360 14.1890
K Ba Pm I
2 2 2 12
Direct
0.0000 0.0000 0.0000
0.0000 0.0000 0.5000
0.3333 0.6667 0.2500
0.6667 0.3333 0.7500
0.6667 0.3333 0.2500
0.3333 0.6667 0.7500
0.6571 0.6254 0.1294
0.9684 0.3429 0.1294
0.3429 0.9684 0.6294
0.0316 0.6571 0.8706
0.3746 0.3429 0.3706
0.9684 0.6254 0.3706
0.6254 0.9684 0.8706
0.6571 0.0316 0.3706
0.0316 0.3746 0.6294
0.3746 0.0316 0.1294
0.6254 0.6571 0.6294
0.3429 0.3746 0.8706
```

***

16.
Here is a relaxed structure of K2BaPtI from Alexandria. Energies are from GGA-PBE.

Values from the calculation:
Raw formation energy = -0.03 eV/atom
Total moment = 0.000 μB/atom
E = -2.3709 eV per atom
Volume = 45.27 A^3/atom

Geometry as POSCAR:
```
K2BaPtI
1.0
-0.1600 -4.9602 3.9509
0.7248 -3.4896 -4.3517
6.2885 0.3853 0.7384
I K Ba Pt
1 2 1 1
Direct
0.0000 0.0000 0.0000
0.0000 0.0000 0.5000
0.5000 0.0000 0.0000
0.5000 0.5000 0.5000
0.0000 0.5000 0.0000
```

***

17.
Here is a relaxed structure of K2BaPuI6 from Alexandria. Energies are from GGA-PBE.

Values from the calculation:
Raw formation energy = -1.40 eV/atom
Total moment = 0.600 μB/atom
E = -4.1764 eV per atom
Volume = 48.05 A^3/atom

Geometry as POSCAR:
```
K2BaPuI6
1.0
8.4626 0.0000 -0.0899
0.0000 9.1341 0.0000
-0.0564 0.0000 12.4334
K Ba Pu I
4 2 2 12
Direct
0.0371 0.9075 0.2465
0.5371 0.5925 0.7465
0.9629 0.0925 0.7535
0.4629 0.4075 0.2535
0.5000 0.0000 0.0000
0.0000 0.5000 0.5000
0.5000 0.0000 0.5000
0.0000 0.5000 0.0000
0.3090 0.6818 0.0713
0.8090 0.8182 0.5713
0.6910 0.3182 0.9287
0.1910 0.1818 0.4287
0.3288 0.6983 0.4281
0.8288 0.8017 0.9281
0.6712 0.3017 0.5719
0.1712 0.1983 0.0719
0.8602 0.5511 0.2388
0.3602 0.9489 0.7388
0.1398 0.4489 0.7612
0.6398 0.0511 0.2612
```

***

18.
Here is a relaxed structure of K2RbBaI4 from Alexandria. Energies are from GGA-PBE.

Values from the calculation:
Raw formation energy = -1.38 eV/atom
Total moment = 0.051 μB/atom
E = -2.7956 eV per atom
Volume = 47.75 A^3/atom

Geometry as POSCAR:
```
K2RbBaI4
1.0
4.8246 0.0000 0.0000
0.0000 9.0923 0.3691
0.0000 -2.9730 8.5879
K Rb Ba I
2 1 1 4
Direct
0.5000 0.0000 0.5000
0.0000 0.5000 0.5000
0.0000 0.0000 0.0000
0.5000 0.5000 0.0000
0.5000 0.2629 0.2530
0.5000 0.7371 0.7470
0.0000 0.2513 0.7440
0.0000 0.7487 0.2560
```

***

19.
Here is a relaxed structure of KRbBa2I6 from Alexandria. Energies are from GGA-PBE.

Values from the calculation:
Raw formation energy = -1.65 eV/atom
Total moment = 0.000 μB/atom
E = -3.1704 eV per atom
Volume = 55.52 A^3/atom

Geometry as POSCAR:
```
KRbBa2I6
1.0
9.0295 -0.0005 -0.0008
4.5143 7.8211 -0.0006
4.5133 2.6070 7.8604
K Rb Ba I
1 1 2 6
Direct
0.3117 0.3118 0.0647
0.8073 0.8072 0.5782
0.5161 0.5162 0.4516
0.0127 0.0127 0.9618
0.6277 0.2298 0.2421
0.2299 0.9004 0.2422
0.9003 0.6277 0.2421
0.3849 0.7270 0.7442
0.7269 0.1440 0.7442
0.1440 0.3849 0.7441
```

***

20.
Here is a relaxed structure of K2Rb3BaI6 from Alexandria. Energies are from GGA-PBE.

Values from the calculation:
Raw formation energy = -1.42 eV/atom
Total moment = 0.018 μB/atom
E = -2.7831 eV per atom
Volume = 49.99 A^3/atom

Geometry as POSCAR:
```
K2Rb3BaI6
1.0
-4.5518 2.2489 0.1405
-4.7081 -9.4355 -1.5033
3.0704 -0.2260 11.2909
K Rb Ba I
2 3 1 6
Direct
0.8319 0.6630 0.6638
0.1681 0.3370 0.3362
0.5000 0.5000 0.0000
0.8322 0.1715 0.6644
0.1678 0.8285 0.3356
0.5000 0.0000 0.0000
0.3398 0.9143 0.6795
0.6689 0.5760 0.3378
0.6602 0.0857 0.3205
0.0023 0.2398 0.0045
0.9977 0.7602 0.9955
0.3311 0.4240 0.6622
```

***

21.
Here is a relaxed structure of KRb2BaI6 from Alexandria. Energies are from GGA-PBE.

Values from the calculation:
Raw formation energy = -1.23 eV/atom
Total moment = 0.000 μB/atom
E = -2.6585 eV per atom
Volume = 60.68 A^3/atom

Geometry as POSCAR:
```
KRb2BaI6
1.0
-0.3446 -9.3220 1.8134
8.4769 -1.1200 -4.1466
7.0936 -4.1835 4.7421
I K Ba Rb
6 1 1 2
Direct
0.2509 0.2509 0.4983
0.7491 0.7491 0.5017
0.2508 0.2508 0.0000
0.7492 0.7492 0.0000
0.7492 0.2508 0.0000
0.2508 0.7492 0.0000
0.5000 0.5000 0.0000
0.0000 0.0000 0.0000
0.7500 0.2500 0.5000
0.2500 0.7500 0.5000
```

***

22.
Here is a relaxed structure of KRb2BaI4 from Alexandria. Energies are from GGA-PBE.

Values from the calculation:
Raw formation energy = -1.39 eV/atom
Total moment = 0.034 μB/atom
E = -2.7854 eV per atom
Volume = 49.54 A^3/atom

Geometry as POSCAR:
```
KRb2BaI4
1.0
-1.3284 -4.4872 1.5997
4.9899 1.2146 7.5506
-8.4635 3.1349 1.7654
K Rb Ba I
1 2 1 4
Direct
0.0000 0.0000 0.0000
0.5000 0.0000 0.5000
0.0000 0.5000 0.5000
0.5000 0.5000 0.0000
0.5000 0.2506 0.2329
0.5000 0.7494 0.7671
0.0000 0.2549 0.7620
0.0000 0.7451 0.2380
```